Entry 1:
Here is a relaxed FeHIr3 crystal from Alexandria. Energies are from PBE-GGA.

Cell: 3.860 3.860 3.860 Å, 90.00 90.00 90.00°
Positions (direct):
1 Ir 0.500 0.000 0.000
2 Ir 0.000 0.500 0.000
3 Ir 0.000 0.000 0.500
4 H 0.000 0.000 0.000
5 Fe 0.500 0.500 0.500

E_tot   -7.4574 eV per atom
ΔE to the lowest computed polymorph   0.000 eV per atom

=====

Entry 2:
Here is a relaxed TcTe4Au crystal from Alexandria. Energies are from PBE-GGA.

Cell: 6.954 5.395 7.557 Å, 105.93 124.16 112.68°
Positions (direct):
1 Tc 0.887 0.291 0.625
2 Te 0.178 0.377 0.497
3 Te 0.764 0.674 0.459
4 Te 0.266 0.880 0.135
5 Te 0.712 0.155 0.858
6 Au 0.442 0.374 0.925

E_tot   -4.2564 eV per atom
Raw formation energy   112 meV per atom

=====

Entry 3:
Here is a relaxed PmPr6 crystal from Alexandria. Energies are from PBE-GGA.

Cell: 3.649 9.028 9.028 Å, 118.21 97.74 97.74°
Positions (direct):
1 Pr 0.576 0.574 0.840
2 Pr 0.002 0.266 0.426
3 Pr 0.424 0.426 0.160
4 Pr 0.264 0.840 0.266
5 Pr 0.998 0.734 0.574
6 Pr 0.736 0.160 0.734
7 Pm 0.500 0.000 0.000

E_tot   -4.6647 eV per atom
ΔE to the lowest computed polymorph   0.000 eV per atom

=====

Entry 4:
Here is a relaxed AgMoAs2 crystal from Alexandria. Energies are from PBE-GGA.

Cell: 3.264 3.262 7.247 Å, 63.76 90.00 90.00°
Positions (direct):
1 Mo 0.500 0.250 0.250
2 As 0.000 0.963 0.034
3 As 0.000 0.537 0.466
4 Ag 0.500 0.750 0.750

E_tot   -5.7332 eV per atom
ΔE to the lowest computed polymorph   0.008 eV per atom

=====

Entry 5:
Here is a relaxed Yb3Si crystal from Alexandria. Energies are from PBE-GGA.

Cell: 6.697 6.697 5.231 Å, 90.00 90.00 120.00°
Last column: magnetic moment on the atom in μB.
Positions (direct):
1 Yb 0.649 0.824 0.250  -0.17
2 Yb 0.351 0.176 0.750  -0.17
3 Yb 0.824 0.649 0.750  -0.17
4 Yb 0.176 0.824 0.250  -0.17
5 Yb 0.176 0.351 0.250  -0.17
6 Yb 0.824 0.176 0.750  -0.17
7 Si 0.333 0.667 0.750  -0.01
8 Si 0.667 0.333 0.250  -0.01

E_tot   -2.8514 eV per atom
Raw formation energy   -351 meV per atom

=====

Entry 6:
Here is a relaxed LiMg4PtAu2 crystal from Alexandria. Energies are from PBE-GGA.

Cell: 4.611 4.611 8.010 Å, 73.27 73.27 60.00°
Positions (direct):
1 Mg 0.621 0.621 0.138
2 Mg 0.131 0.131 0.607
3 Mg 0.379 0.379 0.862
4 Mg 0.869 0.869 0.393
5 Li 0.000 0.000 0.000
6 Au 0.744 0.744 0.768
7 Au 0.256 0.256 0.232
8 Pt 0.500 0.500 0.500

E_tot   -3.2250 eV per atom

=====

Entry 7:
Here is a relaxed Dy4TlIn2Ag crystal from Alexandria. Energies are from PBE-GGA.

Cell: 5.289 5.289 9.203 Å, 73.30 73.30 60.00°
Positions (direct):
1 Tl 0.000 0.000 0.000
2 Dy 0.873 0.873 0.382
3 Dy 0.622 0.622 0.133
4 Dy 0.127 0.127 0.618
5 Dy 0.378 0.378 0.867
6 Ag 0.500 0.500 0.500
7 In 0.249 0.249 0.254
8 In 0.751 0.751 0.746

E_tot   -4.0248 eV per atom

=====

Entry 8:
Here is a relaxed Cd2TcTe crystal from Alexandria. Energies are from PBE-GGA.

Cell: 5.290 5.290 3.382 Å, 90.00 90.00 116.68°
Last column: magnetic moment on the atom in μB.
Positions (direct):
1 Cd 0.500 0.500 0.000  -0.02
2 Cd 0.000 0.000 0.000  -0.02
3 Te 0.000 0.500 0.500  0.01
4 Tc 0.500 0.000 0.500  1.32

E_tot   -3.3380 eV per atom
Raw formation energy   497 meV per atom

=====

Entry 9:
Here is a relaxed Tb2PmY8 crystal from Alexandria. Energies are from PBE-GGA.

Cell: 5.584 10.190 10.190 Å, 40.17 92.79 92.79°
Positions (direct):
1 Y 0.269 0.133 0.602
2 Y 0.236 0.547 0.547
3 Y 0.767 0.812 0.812
4 Y 0.233 0.188 0.188
5 Y 0.269 0.602 0.133
6 Y 0.764 0.453 0.453
7 Y 0.731 0.398 0.867
8 Y 0.731 0.867 0.398
9 Tb 0.751 0.284 0.284
10 Tb 0.249 0.716 0.716
11 Pm 0.000 0.000 0.000

E_tot   -5.8250 eV per atom
ΔE to the lowest computed polymorph   0.000 eV per atom

=====

Entry 10:
Here is a relaxed Cd2MoCl crystal from Alexandria. Energies are from PBE-GGA.

Cell: 4.885 4.885 4.885 Å, 60.00 60.00 60.00°
Last column: magnetic moment on the atom in μB.
Positions (direct):
1 Cd 0.750 0.750 0.750  -0.07
2 Cd 0.000 0.000 0.000  0.00
3 Cl 0.500 0.500 0.500  0.01
4 Mo 0.250 0.250 0.250  2.60

E_tot   -2.9544 eV per atom
ΔE to the lowest computed polymorph   0.539 eV per atom
Raw formation energy   673 meV per atom

=====

The magnetization results, record by record, are as follows: 0.00; 0.00; 0.00; 0.00; 0.50; 0.00; 0.00; 1.42; 0.00; 2.90 μB per formula unit.